DFT (GGA-PBE) results for crystalline EuErBi at its relaxed geometry.

It has space group I4mm (No. 107), with a = 4.138 Å, b = 4.138 Å, c = 11.095 Å, α = 90.00°, β = 90.00° and γ = 90.00°. The asymmetric unit holds Eu at (0.000, 0.000, 0.000), Er at (0.000, 0.000, 0.304) and Bi at (0.000, 0.000, 0.674).

Its energy above the most stable polymorph in this dataset is 0.0 meV/atom.

DFT (GGA-PBE) results for crystalline HoNbTcOs at its relaxed geometry.

It has space group F-43m (No. 216), with a = 6.558 Å, b = 6.558 Å, c = 6.558 Å, α = 90.00°, β = 90.00° and γ = 90.00°. The asymmetric unit holds Ho at (0.000, 0.000, 0.000), Nb at (0.000, 0.000, 0.500), Tc at (0.250, 0.250, 0.250) and Os at (0.250, 0.250, 0.750).

The calculation puts the uncorrected energy at -147.39 eV for the cell shown.

DFT (GGA-PBE) results for crystalline LiTe at its relaxed geometry.

It has space group P6_3/mmc (No. 194), with a = 5.4627 Å, b = 5.4627 Å, c = 8.2149 Å, α = 90.00°, β = 90.00° and γ = 120.00°. The asymmetric unit holds Li at (0.3333, 0.6667, 0.0841), Te at (0.0000, 0.0000, 0.2500) and Te at (0.3333, 0.6667, 0.7500).

Its energy above the most stable polymorph in this dataset is 358.0 meV/atom.

DFT (GGA-PBE) results for crystalline Co2NiBr6 at its relaxed geometry.

It has space group C2/c (No. 15), with a = 12.736 Å, b = 11.504 Å, c = 6.757 Å, α = 90.00°, β = 101.52° and γ = 90.00°. The asymmetric unit holds Co at (0.197, 0.087, 0.310), Ni at (0.000, 0.401, 0.250), Br at (0.109, 0.421, 0.615), Br at (0.123, 0.257, 0.136) and Br at (0.131, 0.078, 0.618).

The calculation puts the uncorrected energy at -128.74 eV for the cell shown.

DFT (GGA-PBE) results for crystalline PuNp4S7 at its relaxed geometry.

It has space group Cm (No. 8), with a = 12.997 Å, b = 3.858 Å, c = 11.429 Å, α = 90.00°, β = 104.86° and γ = 90.00°. The asymmetric unit holds Pu at (0.000, 0.000, 0.000), Np at (0.117, 0.000, 0.421), Np at (0.234, 0.000, 0.848), Np at (0.316, 0.500, 0.237), Np at (0.418, 0.000, 0.608), S at (0.075, 0.000, 0.638), S at (0.115, 0.500, 0.918), S at (0.161, 0.000, 0.206), S at (0.273, 0.500, 0.473), S at (0.353, 0.500, 0.770), S at (0.381, 0.000, 0.077) and S at (0.461, 0.000, 0.372).

The calculation puts the uncorrected energy at -223.76 eV for the cell shown.

DFT (GGA-PBE) results for crystalline LiCa6Mg at its relaxed geometry.

It has space group I4/mmm (No. 139), with a = 5.581 Å, b = 5.581 Å, c = 18.920 Å, α = 90.00°, β = 90.00° and γ = 90.00°. The asymmetric unit holds Li at (0.000, 0.000, 0.000), Ca at (0.000, 0.000, 0.251), Ca at (0.000, 0.500, 0.105) and Mg at (0.000, 0.000, 0.500).

Its energy above the most stable polymorph in this dataset is 0.0 meV/atom.

DFT (GGA-PBE) results for crystalline SrCd2Co2 at its relaxed geometry.

It has space group P4/mbm (No. 127), with a = 7.854 Å, b = 7.854 Å, c = 3.193 Å, α = 90.00°, β = 90.00° and γ = 90.00°. The asymmetric unit holds Sr at (0.000, 0.000, 0.000), Cd at (0.177, 0.323, 0.500) and Co at (0.104, 0.604, 0.000).

Its energy above the most stable polymorph in this dataset is 113.6 meV/atom.

DFT (GGA-PBE) results for crystalline LiDy4ErSe8 at its relaxed geometry.

It has space group R3m (No. 160, hexagonal axes), with a = 8.3582 Å, b = 8.3582 Å, c = 20.4069 Å, α = 90.00°, β = 90.00° and γ = 120.00°. The asymmetric unit holds Li at (0.0000, 0.0000, 0.0000), Dy at (0.0000, 0.0000, 0.7503), Dy at (0.0138, 0.5069, 0.8767), Er at (0.0000, 0.0000, 0.3696), Se at (0.0000, 0.0000, 0.1300), Se at (0.0000, 0.0000, 0.6165), Se at (0.0244, 0.5122, 0.1271) and Se at (0.1741, 0.3482, 0.9571).

The calculation puts the uncorrected energy at -233.08 eV for the cell shown.